! PrLuNi PBE relaxed; values from VASP
! - VASP energy: -15.71 eV per cell
! - Density of states at the Fermi level: 3.574 states/eV per cell
! - Calculated formation energy: -0.2087 eV per atom
! - Total magnetization: 0.000 μB/atom
! - Crystal system: tetragonal
&SYSTEM
  ibrav = 0, nat = 3, ntyp = 3
/
ATOMIC_SPECIES
Pr 140.91 Pr.upf
Lu 174.97 Lu.upf
Ni 58.69 Ni.upf
CELL_PARAMETERS angstrom
-1.7167 1.7167 6.2357
1.7167 -1.7167 6.2357
1.7167 1.7167 -6.2357
ATOMIC_POSITIONS crystal
Pr 0.0000 0.0000 0.0000
Lu 0.2652 0.2652 0.0000
Ni 0.6533 0.6533 0.0000